# 1
This record from Alexandria describes crystalline Mg4W at its relaxed geometry. The functional is GGA-PBE.

The polymorph energy (0 for the lowest one) comes out at 0.025 eV/atom. Its total energy is -29.67 eV per cell. For the density of states at the Fermi level, the calculation gives 5.2 states/eV/cell. The calculated formation energy comes out at 0.8995 eV/atom.

The space group is I4/mmm (No. 139) and the conventional cell measures 3.800, 3.800 and 14.860 Å, with angles of 90.00, 90.00 and 90.00 degrees. The distinct sites, in fractional coordinates, are Mg at (0.000, 0.000, 0.090), Mg at (0.000, 0.500, 0.250) and W at (0.000, 0.000, 0.500).

# 2
This record from Alexandria describes crystalline Mg2W at its relaxed geometry. The functional is GGA-PBE.

The polymorph energy (0 for the lowest one) comes out at 0.299 eV/atom. Its total energy is -42.64 eV per cell. For the density of states at the Fermi level, the calculation gives 9.9 states/eV/cell. The calculated formation energy comes out at 0.6426 eV/atom.

The space group is P-62m (No. 189) and the conventional cell measures 8.4154, 8.4154 and 2.6985 Å, with angles of 90.00, 90.00 and 120.00 degrees. The distinct sites, in fractional coordinates, are Mg at (0.0000, 0.3102, 0.0000), Mg at (0.0000, 0.6412, 0.5000), W at (0.0000, 0.0000, 0.5000) and W at (0.3333, 0.6667, 0.0000).

# 3
This record from Alexandria describes crystalline Mg4W3 at its relaxed geometry. The functional is GGA-PBE.

The polymorph energy (0 for the lowest one) comes out at 0.028 eV/atom. Its total energy is -84.20 eV per cell. For the density of states at the Fermi level, the calculation gives 8.6 states/eV/cell. The calculated formation energy comes out at 0.4485 eV/atom.

The space group is I4/mmm (No. 139) and the conventional cell measures 3.166, 3.166 and 26.209 Å, with angles of 90.00, 90.00 and 90.00 degrees. The distinct sites, in fractional coordinates, are Mg at (0.000, 0.000, 0.072), Mg at (0.000, 0.000, 0.346), W at (0.000, 0.000, 0.225) and W at (0.000, 0.000, 0.500).

# 4
This record from Alexandria describes crystalline MgW3 at its relaxed geometry. The functional is GGA-PBE.

The polymorph energy (0 for the lowest one) comes out at 0.298 eV/atom. Its total energy is -153.37 eV per cell. For the density of states at the Fermi level, the calculation gives 6.6 states/eV/cell. The calculated formation energy comes out at 0.5279 eV/atom.

The space group is I4/mmm (No. 139) and the conventional cell measures 3.997, 3.997 and 16.462 Å, with angles of 90.00, 90.00 and 90.00 degrees. The distinct sites, in fractional coordinates, are Mg at (0.000, 0.000, 0.125), W at (0.000, 0.000, 0.374), W at (0.000, 0.500, 0.000) and W at (0.000, 0.500, 0.250).

# 5
This record from Alexandria describes crystalline MgW at its relaxed geometry. The functional is GGA-PBE.

The polymorph energy (0 for the lowest one) comes out at 2.976 eV/atom. Its total energy is -48.44 eV per cell. For the density of states at the Fermi level, the calculation gives 9.1 states/eV/cell. The calculated formation energy comes out at 3.2369 eV/atom.

The space group is Pm-3n (No. 223) and the conventional cell measures 7.952, 7.952 and 7.952 Å, with angles of 90.00, 90.00 and 90.00 degrees. The distinct sites, in fractional coordinates, are Mg at (0.000, 0.250, 0.500) and W at (0.000, 0.500, 0.250).

# 6
This record from Alexandria describes crystalline MgW7 at its relaxed geometry. The functional is GGA-PBE.

Its total energy is -353.19 eV per cell. For the density of states at the Fermi level, the calculation gives 27.3 states/eV/cell. The calculated formation energy comes out at 0.4962 eV/atom.

The space group is Fm-3m (No. 225) and the conventional cell measures 8.081, 8.081 and 8.081 Å, with angles of 90.00, 90.00 and 90.00 degrees. The distinct sites, in fractional coordinates, are Mg at (0.000, 0.000, 0.000), W at (0.000, 0.000, 0.500) and W at (0.000, 0.250, 0.250).

Look up the calculated formation energy of the first one.
0.8995 eV/atom